The following is a DFT calculation (PBE-GGA) of an optimized crystal structure of CeErTmAl.

The total energy is -75.6 eV/cell.

It has space group F-43m (No. 216), with a = 7.4789 Å, b = 7.4789 Å, c = 7.4789 Å, α = 90.00°, β = 90.00° and γ = 90.00°. The inequivalent atoms are Ce at (0.0000, 0.0000, 0.0000), Er at (0.0000, 0.0000, 0.5000), Tm at (0.2500, 0.2500, 0.2500) and Al at (0.2500, 0.2500, 0.7500).